[1]
# meta-GGA SCAN TaAsIr, PBEsol geometry
# M_tot	0.0	μB per formula unit
# raw total energy	-52.86	eV/atom
data_TaAsIr
_symmetry_space_group_name_H-M 'P 1'
_symmetry_Int_Tables_number 1
_symmetry_space_group_name_Hall 'P 1'
_cell_length_a 2.964
_cell_length_b 2.964
_cell_length_c 5.698
_cell_angle_alpha 105.07
_cell_angle_beta 105.07
_cell_angle_gamma 90.00
loop_
_atom_site_label
_atom_site_type_symbol
_atom_site_fract_x
_atom_site_fract_y
_atom_site_fract_z
Ir1 Ir 0.665 0.665 0.330
Ta1 Ta 0.334 0.334 0.667
As1 As 0.002 0.002 0.003


[2]
# meta-GGA SCAN CoHg2Se, PBEsol geometry
# ΔE_f (raw)	339	meV/atom
# M_tot	2.2	μB per formula unit
# raw total energy	-43.09	eV/atom
data_CoHg2Se
_symmetry_space_group_name_H-M 'P 1'
_symmetry_Int_Tables_number 1
_symmetry_space_group_name_Hall 'P 1'
_cell_length_a 3.810
_cell_length_b 3.810
_cell_length_c 6.064
_cell_angle_alpha 108.31
_cell_angle_beta 108.31
_cell_angle_gamma 90.00
loop_
_atom_site_label
_atom_site_type_symbol
_atom_site_fract_x
_atom_site_fract_y
_atom_site_fract_z
Se1 Se 0.500 0.500 0.000
Hg1 Hg 0.750 0.250 0.500
Hg2 Hg 0.250 0.750 0.500
Co1 Co 0.000 0.000 0.000


[3]
# meta-GGA SCAN CuWO3F2, PBEsol geometry
# ΔE_f (raw)	-2077	meV/atom
# M_tot	1.0	μB per formula unit
# raw total energy	-17.89	eV/atom
data_CuWO3F2
_symmetry_space_group_name_H-M 'P 1'
_symmetry_Int_Tables_number 1
_symmetry_space_group_name_Hall 'P 1'
_cell_length_a 3.710
_cell_length_b 5.201
_cell_length_c 9.616
_cell_angle_alpha 90.00
_cell_angle_beta 90.00
_cell_angle_gamma 105.96
loop_
_atom_site_label
_atom_site_type_symbol
_atom_site_fract_x
_atom_site_fract_y
_atom_site_fract_z
F1 F 0.661 0.645 0.111
F2 F 0.339 0.355 0.611
F3 F 0.661 0.645 0.389
F4 F 0.339 0.355 0.889
O1 O 0.120 0.805 0.892
O2 O 0.120 0.805 0.608
O3 O 0.880 0.195 0.108
O4 O 0.738 0.109 0.750
O5 O 0.880 0.195 0.392
O6 O 0.262 0.891 0.250
Cu1 Cu 0.000 0.500 0.000
Cu2 Cu 0.000 0.500 0.500
W1 W 0.791 0.970 0.250
W2 W 0.209 0.030 0.750